A geometry-optimized LiTl2TcF6 structure, computed with PBE.

Raw total energy, hartree per atom: -0.177
E above lowest polymorph, meV/atom: 24.0

abc: 5.7128 5.7128 5.7128
angles: 120.48 120.48 89.17
Atoms (fractional coordinates):
Li  0.0000  0.0000  0.0000
Tl  0.2500  0.7500  0.5000
Tl  0.7500  0.2500  0.5000
Tc  0.5000  0.5000  0.0000
F  0.2440  0.7475  0.9915
F  0.2470  0.2470  0.0000
F  0.2525  0.2440  0.4965
F  0.7475  0.7560  0.5035
F  0.7530  0.7530  0.0000
F  0.7560  0.2525  0.0085